The following is a SCAN calculation of NiC at its PBEsol-relaxed geometry, from Alexandria.

Lattice parameters (Å, degrees): 3.056 3.056 4.891 90.00 90.00 120.00
Sites, in units of the cell vectors:
Ni (0.667, 0.333, 0.624)
Ni (0.333, 0.667, 0.124)
C (0.667, 0.333, 0.005)
C (0.333, 0.667, 0.505)

## Properties
The value obtained for the total energy is -12.1655 eV per atom. For the formation energy, the calculation gives 0.9710 eV/atom. Its density of states at the Fermi level is 2.03 states/eV/cell.